Record 1
VASP calculation (PBE) on a relaxed Si2NiPd crystal.

Calculated values
symmetry	I-42d, No. 122
ΔE to the lowest computed polymorph	28.2	kJ/mol of atoms
E_form (uncorrected)	-219	meV/atom
calculated volume	14.497	Å³ per atom

Cell: 3.8484 3.8484 8.2901 Å, 76.58 76.58 90.00°
With the nearest neighbours (Å) after each atom.
Fractional positions:
Pd1 0.7500 0.2500 0.5000  4 Si 2.43, 4 Ni 2.72
Pd2 0.0000 0.0000 0.0000  4 Si 2.43, 4 Ni 2.72
Ni1 0.5000 0.5000 0.0000  4 Si 2.34
Ni2 0.2500 0.7500 0.5000  4 Si 2.34
Si1 0.8750 0.8455 0.7500  2 Ni 2.34, 2 Pd 2.43, 2 Si 2.57
Si2 0.5955 0.1250 0.2500  2 Ni 2.34, 2 Pd 2.43, 2 Si 2.57
Si3 0.1545 0.6250 0.2500  2 Ni 2.34, 2 Pd 2.43, 2 Si 2.57
Si4 0.3750 0.4045 0.7500  2 Ni 2.34, 2 Pd 2.43, 2 Si 2.57

=====

Record 2
VASP calculation (PBE) on a relaxed Pm6ZnOs2 crystal.

Calculated values
symmetry	Immm, No. 71
energy of formation from the pure elements	-0.152	eV/atom
calculated volume	27.460	Å³ per atom

Cell: 8.6412 8.6412 8.6412 Å, 104.81 111.82 111.88°
With the nearest neighbours (Å) after each atom.
Fractional positions:
Pm1 0.6860 0.3578 0.6718  3 Os 2.86-3.08
Pm2 0.1981 0.7568 0.9549  1 Os 2.83
Pm3 0.8019 0.7568 0.5587  1 Os 2.83
Pm4 0.1981 0.2432 0.4413  1 Os 2.83
Pm5 0.3140 0.9858 0.6718  3 Os 2.86-3.08
Pm6 0.5451 0.7263 0.8188  3 Os 2.98-3.07, 1 Zn 3.18
Pm7 0.3140 0.6422 0.3282  3 Os 2.86-3.08
Pm8 0.9075 0.7263 0.1812  3 Os 2.98-3.07, 1 Zn 3.18
Pm9 0.0925 0.2737 0.8188  3 Os 2.98-3.07, 1 Zn 3.18
Pm10 0.6860 0.0142 0.3282  3 Os 2.86-3.08
Pm11 0.8019 0.2432 0.0451  1 Os 2.83
Pm12 0.4549 0.2737 0.1812  3 Os 2.98-3.07, 1 Zn 3.18
Os1 0.3229 0.0000 0.3229  8 Pm 2.83-3.08, 1 Zn 3.13
Os2 0.6771 0.0000 0.6771  8 Pm 2.83-3.08, 1 Zn 3.13
Os3 0.5000 0.6179 0.1179  1 Os 2.49
Os4 0.5000 0.3821 0.8821  1 Os 2.49
Zn1 0.0000 0.5000 0.5000  8 Pm 3.32-3.54
Zn2 0.0000 0.0000 0.0000  2 Os 3.13, 8 Pm 3.18-3.20